[1]
Computed, not measured: Cd3Te2O after structural relaxation at the PBE level of DFT.

POSCAR file:
```
Cd3Te2O
1.0
-2.708 -2.799 1.909
3.647 -4.467 -1.376
2.719 4.466 5.480
Cd Te O
3 2 1
Direct
0.000 0.074 0.000
0.362 0.317 0.724
0.638 0.593 0.276
0.837 0.595 0.675
0.163 0.921 0.325
0.500 0.243 0.000
```

## Properties
- Uncorrected energy: -0.21190 Ry/atom
- Energy relative to the elements, uncorrected: -0.552 eV per atom
- N(E_F): 0.5 states/eV/f.u.
- Density: 5.9 g cm⁻³

---

[2]
Computed, not measured: Ho4CdIn2Pd after structural relaxation at the PBE level of DFT.

POSCAR file:
```
Ho4CdIn2Pd
1.0
-3.882 3.466 -0.460
-2.938 0.073 -4.319
-7.618 -4.336 1.950
Ho Cd In Pd
4 1 2 1
Direct
0.382 0.382 0.854
0.870 0.870 0.389
0.130 0.130 0.611
0.618 0.618 0.146
0.000 0.000 0.000
0.745 0.745 0.764
0.255 0.255 0.236
0.500 0.500 0.500
```

## Properties
- Uncorrected energy: -0.31317 Ry/atom
- N(E_F): 4.1 states/eV/f.u.
- Formation energy: -0.524 eV per atom
- Density: 9.2 g cm⁻³

---

[3]
Computed, not measured: NbNiB after structural relaxation at the PBE level of DFT.

POSCAR file:
```
NbNiB
1.0
3.087 0.000 0.000
0.000 3.299 0.000
0.000 -1.647 6.685
Ni Nb B
2 2 2
Direct
0.750 0.295 0.591
0.250 0.705 0.409
0.250 0.902 0.803
0.750 0.098 0.197
0.250 0.534 0.069
0.750 0.466 0.931
```

## Properties
- Uncorrected energy: -0.59388 Ry/atom
- N(E_F): 1.2 states/eV/f.u.
- Formation energy: -0.571 eV per atom
- Density: 7.9 g cm⁻³

---

[4]
Computed, not measured: TaBe3Ag after structural relaxation at the PBE level of DFT.

POSCAR file:
```
TaBe3Ag
1.0
-2.711 -0.068 -3.116
-0.622 -4.035 0.629
-3.054 0.882 2.638
Be Ag Ta
3 1 1
Direct
0.000 0.500 0.000
0.000 0.000 0.500
0.500 0.000 0.000
0.000 0.000 0.000
0.500 0.500 0.500
```

## Properties
- Uncorrected energy: -0.31113 Ry/atom
- N(E_F): 1.8 states/eV/f.u.
- Formation energy: 0.943 eV per atom
- Density: 7.4 g cm⁻³